1.
# SmDyRh4 PBE-GGA relaxed
data_SmDyRh4
_chemical_formula_sum 'Sm4 Dy4 Rh16'
_cell_length_a 7.583
_cell_length_b 7.583
_cell_length_c 7.583
_cell_angle_alpha 90.00
_cell_angle_beta 90.00
_cell_angle_gamma 90.00
_space_group_name_H-M_alt 'F -4 3 m'
_space_group_IT_number 216
_space_group_name_Hall 'F -4 2 3'
loop_
_atom_site_label
_atom_site_type_symbol
_atom_site_fract_x
_atom_site_fract_y
_atom_site_fract_z
Sm1 Sm 0.000 0.000 0.000
Dy1 Dy 0.250 0.250 0.750
Rh1 Rh 0.125 0.125 0.375
# Total energy ... -7.170 eV per atom
# ΔH_f (0 K) ... -0.715 eV per atom


2.
# SrZn2Tc PBE-GGA relaxed
data_SrZn2Tc
_chemical_formula_sum 'Sr1 Zn2 Tc1'
_cell_length_a 3.389
_cell_length_b 3.894
_cell_length_c 6.756
_cell_angle_alpha 90.00
_cell_angle_beta 104.36
_cell_angle_gamma 90.00
_space_group_name_H-M_alt 'P 1 m 1'
_space_group_IT_number 6
_space_group_name_Hall 'P -2y'
loop_
_atom_site_label
_atom_site_type_symbol
_atom_site_fract_x
_atom_site_fract_y
_atom_site_fract_z
Sr1 Sr 0.000 0.000 0.000
Zn1 Zn 0.226 0.000 0.447
Zn2 Zn 0.348 0.500 0.694
Tc1 Tc 0.694 0.500 0.384
# Energy relative to the lowest polymorph listed for this composition ... 11.14 kJ/mol of atoms
# Total energy ... -3.339 eV per atom
# ΔH_f (0 K) ... 0.310 eV per atom


Question: Which value of total energy does entry 2 give?
Answer: -3.339 eV per atom


Question: What is the formula in the second record?
Answer: SrZn2Tc


Question: Among the records above, which one has the lowest ΔH_f (0 K)?
Answer: SmDyRh4


Question: Which formula does entry 1 have?
Answer: SmDyRh4